1.
# Pu5InIr3 PBE-GGA optimized geometry
data_Pu5InIr3
_chemical_formula_sum 'Pu20 In4 Ir12'
_cell_length_a 11.920
_cell_length_b 8.724
_cell_length_c 10.015
_cell_angle_alpha 90.00
_cell_angle_beta 109.51
_cell_angle_gamma 90.00
_symmetry_space_group_name_H-M 'C 1 2/m 1'
_symmetry_Int_Tables_number 12
loop_
_symmetry_equiv_pos_as_xyz
'x,y,z'
'-x,-y,-z'
'-x,y,-z'
'x,-y,z'
'x+1/2,y+1/2,z'
'-x+1/2,-y+1/2,-z'
'-x+1/2,y+1/2,-z'
'x+1/2,-y+1/2,z'
loop_
_atom_site_label
_atom_site_type_symbol
_atom_site_fract_x
_atom_site_fract_y
_atom_site_fract_z
_atom_site_occupancy
Pu1 Pu 0.000 0.198 0.000 1
Pu2 Pu 0.013 0.000 0.327 1
Pu3 Pu 0.188 0.310 0.627 1
Pu4 Pu 0.247 0.500 0.076 1
In1 In 0.064 0.500 0.277 1
Ir1 Ir 0.000 0.500 0.000 1
Ir2 Ir 0.000 0.500 0.500 1
Ir3 Ir 0.168 0.000 0.162 1
Ir4 Ir 0.192 0.000 0.585 1
# Calculated volume = 27.3 Å³/atom
# Calculated density = 12.93 g cm⁻³
# Total DFT energy (no corrections) = -101.88 eV/f.u.
# Energy of formation = -0.90 eV per formula unit

2.
# Nd6TeP2Cl3 PBE-GGA optimized geometry
data_Nd6TeP2Cl3
_chemical_formula_sum 'Nd12 Te2 P4 Cl6'
_cell_length_a 18.314
_cell_length_b 4.159
_cell_length_c 8.569
_cell_angle_alpha 90.00
_cell_angle_beta 99.68
_cell_angle_gamma 90.00
_symmetry_space_group_name_H-M 'C 1 2/m 1'
_symmetry_Int_Tables_number 12
loop_
_symmetry_equiv_pos_as_xyz
'x,y,z'
'-x,-y,-z'
'-x,y,-z'
'x,-y,z'
'x+1/2,y+1/2,z'
'-x+1/2,-y+1/2,-z'
'-x+1/2,y+1/2,-z'
'x+1/2,-y+1/2,z'
loop_
_atom_site_label
_atom_site_type_symbol
_atom_site_fract_x
_atom_site_fract_y
_atom_site_fract_z
_atom_site_occupancy
Nd1 Nd 0.019 0.000 0.270 1
Nd2 Nd 0.172 0.500 0.116 1
Nd3 Nd 0.172 0.500 0.563 1
Te1 Te 0.000 0.500 0.000 1
P1 P 0.174 0.000 0.339 1
Cl1 Cl 0.000 0.500 0.500 1
Cl2 Cl 0.162 0.000 0.834 1
# Calculated volume = 26.8 Å³/atom
# Calculated density = 6.00 g cm⁻³
# Total DFT energy (no corrections) = -66.25 eV/f.u.
# Uncorrected formation energy = -34.865 kcal/mol of atoms

3.
# Cs2BiTeI6 PBE-GGA optimized geometry
data_Cs2BiTeI6
_chemical_formula_sum 'Cs4 Bi2 Te2 I12'
_cell_length_a 8.971
_cell_length_b 8.971
_cell_length_c 12.468
_cell_angle_alpha 90.00
_cell_angle_beta 90.00
_cell_angle_gamma 90.00
_symmetry_space_group_name_H-M 'I 4/m m m'
_symmetry_Int_Tables_number 139
_symmetry_space_group_name_Hall '-I 4 2'
loop_
_atom_site_label
_atom_site_type_symbol
_atom_site_fract_x
_atom_site_fract_y
_atom_site_fract_z
_atom_site_occupancy
Cs1 Cs 0.000 0.500 0.250 1
Bi1 Bi 0.000 0.000 0.000 1
Te1 Te 0.000 0.000 0.500 1
I1 I 0.000 0.000 0.250 1
I2 I 0.246 0.246 0.000 1
# Calculated volume = 50.2 Å³/atom
# Calculated density = 4.51 g cm⁻³
# Total DFT energy (no corrections) = -25.32 eV/f.u.
# Uncorrected formation energy = -16.816 kcal/mol of atoms

4.
# Ca2AuBr PBE-GGA optimized geometry
data_Ca2AuBr
_chemical_formula_sum 'Ca4 Au2 Br2'
_cell_length_a 4.382
_cell_length_b 6.051
_cell_length_c 8.478
_cell_angle_alpha 90.00
_cell_angle_beta 90.00
_cell_angle_gamma 90.00
_symmetry_space_group_name_H-M 'I m m m'
_symmetry_Int_Tables_number 71
_symmetry_space_group_name_Hall '-I 2 2'
loop_
_atom_site_label
_atom_site_type_symbol
_atom_site_fract_x
_atom_site_fract_y
_atom_site_fract_z
_atom_site_occupancy
Ca1 Ca 0.000 0.000 0.246 1
Au1 Au 0.000 0.500 0.000 1
Br1 Br 0.000 0.500 0.500 1
# Calculated volume = 28.1 Å³/atom
# Calculated density = 5.27 g cm⁻³
# Total DFT energy (no corrections) = -12.42 eV/f.u.
# Uncorrected formation energy = -19.983 kcal/mol of atoms
# E above lowest polymorph = 242.0 meV/atom

Question: What is the formula in the fourth record?
Answer: Ca2AuBr